(1)
## HfPb2Se2 (PBE)

Data for a relaxed HfPb2Se2 crystal.

## Properties
E above lowest polymorph: 0.00 eV per formula unit
Density of states at the Fermi level: 0.342 states/eV/atom
Total magnetization: 0.00 μB/cell
E: -4.75 eV/atom

The structure in CIF format:
```
data_HfPb2Se2
_symmetry_space_group_name_H-M 'P 4/m b m'
_symmetry_Int_Tables_number 127
_symmetry_space_group_name_Hall '-P 4 2ab'
_cell_length_a 8.0453
_cell_length_b 8.0453
_cell_length_c 4.1360
_cell_angle_alpha 90.00
_cell_angle_beta 90.00
_cell_angle_gamma 90.00
loop_
_atom_site_label
_atom_site_type_symbol
_atom_site_fract_x
_atom_site_fract_y
_atom_site_fract_z
_atom_site_occupancy
Hf1 Hf 0.0000 0.0000 0.0000 1
Pb1 Pb 0.1433 0.3567 0.0000 1
Se1 Se 0.1845 0.6845 0.5000 1
```


(2)
## NaTcI3 (PBE)

Data for a relaxed NaTcI3 crystal.

## Properties
E above lowest polymorph: 1.71 eV per formula unit
Density of states at the Fermi level: 0.648 states/eV/atom
Total magnetization: 3.27 μB/cell
E: -3.36 eV/atom

The structure in CIF format:
```
data_NaTcI3
_symmetry_space_group_name_H-M 'P m -3 m'
_symmetry_Int_Tables_number 221
_symmetry_space_group_name_Hall '-P 4 2 3'
_cell_length_a 5.6633
_cell_length_b 5.6633
_cell_length_c 5.6633
_cell_angle_alpha 90.00
_cell_angle_beta 90.00
_cell_angle_gamma 90.00
loop_
_atom_site_label
_atom_site_type_symbol
_atom_site_fract_x
_atom_site_fract_y
_atom_site_fract_z
_atom_site_occupancy
Na1 Na 0.0000 0.0000 0.0000 1
Tc1 Tc 0.5000 0.5000 0.5000 1
I1 I 0.0000 0.5000 0.5000 1
```


(3)
## Ac3Pm8 (PBE)

Data for a relaxed Ac3Pm8 crystal.

## Properties
E above lowest polymorph: 0.00 eV per formula unit
Density of states at the Fermi level: 1.762 states/eV/atom
Formation enthalpy at 0 K: 38 meV/atom
Total magnetization: 0.00 μB/cell
E: -4.54 eV/atom

The structure in CIF format:
```
data_Ac3Pm8
_symmetry_space_group_name_H-M 'C 1 2/m 1'
_symmetry_Int_Tables_number 12
_cell_length_a 11.8628
_cell_length_b 5.2787
_cell_length_c 13.5351
_cell_angle_alpha 90.00
_cell_angle_beta 105.15
_cell_angle_gamma 90.00
loop_
_symmetry_equiv_pos_as_xyz
'x,y,z'
'-x,-y,-z'
'-x,y,-z'
'x,-y,z'
'x+1/2,y+1/2,z'
'-x+1/2,-y+1/2,-z'
'-x+1/2,y+1/2,-z'
'x+1/2,-y+1/2,z'
loop_
_atom_site_label
_atom_site_type_symbol
_atom_site_fract_x
_atom_site_fract_y
_atom_site_fract_z
_atom_site_occupancy
Ac1 Ac 0.0000 0.0000 0.0000 1
Ac2 Ac 0.0914 0.0000 0.6393 1
Pm1 Pm 0.0454 0.5000 0.8197 1
Pm2 Pm 0.1384 0.5000 0.4545 1
Pm3 Pm 0.1809 0.0000 0.2724 1
Pm4 Pm 0.2269 0.5000 0.0906 1
```


(4)
## Tb2Nd2Dy5 (PBE)

Data for a relaxed Tb2Nd2Dy5 crystal.

## Properties
E above lowest polymorph: 0.00 eV per formula unit
Density of states at the Fermi level: 1.612 states/eV/atom
Formation enthalpy at 0 K: 211 meV/atom
Total magnetization: 0.00 μB/cell
E: -4.43 eV/atom

The structure in CIF format:
```
data_Tb2Nd2Dy5
_symmetry_space_group_name_H-M 'I m a 2'
_symmetry_Int_Tables_number 46
_cell_length_a 14.9415
_cell_length_b 11.8208
_cell_length_c 6.7467
_cell_angle_alpha 90.00
_cell_angle_beta 90.00
_cell_angle_gamma 90.00
loop_
_symmetry_equiv_pos_as_xyz
'x,y,z'
'-x,-y,z'
'-x+1/2,y,z'
'x+1/2,-y,z'
'x+1/2,y+1/2,z+1/2'
'-x+1/2,-y+1/2,z+1/2'
'-x,y+1/2,z+1/2'
'x,-y+1/2,z+1/2'
loop_
_atom_site_label
_atom_site_type_symbol
_atom_site_fract_x
_atom_site_fract_y
_atom_site_fract_z
_atom_site_occupancy
Tb1 Tb 0.0000 0.0000 0.0000 1
Tb2 Tb 0.2500 0.0105 0.0891 1
Nd1 Nd 0.1268 0.5012 0.0415 1
Dy1 Dy 0.0525 0.7463 0.6898 1
Dy2 Dy 0.1431 0.2350 0.8694 1
Dy3 Dy 0.2500 0.7449 0.8919 1
```


(5)
## Fe2Te (PBE)

Data for a relaxed Fe2Te crystal.

## Properties
Density of states at the Fermi level: 1.883 states/eV/atom
Total magnetization: 5.46 μB/cell
E: -6.16 eV/atom

The structure in CIF format:
```
data_Fe2Te
_symmetry_space_group_name_H-M 'F m -3 m'
_symmetry_Int_Tables_number 225
_symmetry_space_group_name_Hall '-F 4 2 3'
_cell_length_a 5.7543
_cell_length_b 5.7543
_cell_length_c 5.7543
_cell_angle_alpha 90.00
_cell_angle_beta 90.00
_cell_angle_gamma 90.00
loop_
_atom_site_label
_atom_site_type_symbol
_atom_site_fract_x
_atom_site_fract_y
_atom_site_fract_z
_atom_site_occupancy
Fe1 Fe 0.2500 0.2500 0.2500 1
Te1 Te 0.0000 0.0000 0.0000 1
```


(6)
## Y2HfRu2 (PBE)

Data for a relaxed Y2HfRu2 crystal.

## Properties
Density of states at the Fermi level: 0.807 states/eV/atom
Formation enthalpy at 0 K: -321 meV/atom
Total magnetization: 0.00 μB/cell
E: -8.61 eV/atom

The structure in CIF format:
```
data_Y2HfRu2
_symmetry_space_group_name_H-M 'P 4/m b m'
_symmetry_Int_Tables_number 127
_symmetry_space_group_name_Hall '-P 4 2ab'
_cell_length_a 6.9889
_cell_length_b 6.9889
_cell_length_c 4.4755
_cell_angle_alpha 90.00
_cell_angle_beta 90.00
_cell_angle_gamma 90.00
loop_
_atom_site_label
_atom_site_type_symbol
_atom_site_fract_x
_atom_site_fract_y
_atom_site_fract_z
_atom_site_occupancy
Y1 Y 0.1771 0.3229 0.0000 1
Hf1 Hf 0.0000 0.0000 0.5000 1
Ru1 Ru 0.1273 0.6273 0.5000 1
```


(7)
## BaGa3Te (PBE)

Data for a relaxed BaGa3Te crystal.

## Properties
E above lowest polymorph: 3.31 eV per formula unit
Density of states at the Fermi level: 0.849 states/eV/atom
Total magnetization: 0.00 μB/cell
E: -2.02 eV/atom

The structure in CIF format:
```
data_BaGa3Te
_symmetry_space_group_name_H-M 'P m -3 m'
_symmetry_Int_Tables_number 221
_symmetry_space_group_name_Hall '-P 4 2 3'
_cell_length_a 6.0418
_cell_length_b 6.0418
_cell_length_c 6.0418
_cell_angle_alpha 90.00
_cell_angle_beta 90.00
_cell_angle_gamma 90.00
loop_
_atom_site_label
_atom_site_type_symbol
_atom_site_fract_x
_atom_site_fract_y
_atom_site_fract_z
_atom_site_occupancy
Ba1 Ba 0.0000 0.0000 0.0000 1
Ga1 Ga 0.0000 0.0000 0.5000 1
Te1 Te 0.5000 0.5000 0.5000 1
```


(8)
## TcHg2Pt (PBE)

Data for a relaxed TcHg2Pt crystal.

## Properties
E above lowest polymorph: 0.79 eV per formula unit
Density of states at the Fermi level: 0.650 states/eV/atom
Formation enthalpy at 0 K: 401 meV/atom
Total magnetization: 1.30 μB/cell
E: -3.85 eV/atom

The structure in CIF format:
```
data_TcHg2Pt
_symmetry_space_group_name_H-M 'I m m 2'
_symmetry_Int_Tables_number 44
_cell_length_a 2.8126
_cell_length_b 4.9424
_cell_length_c 11.0988
_cell_angle_alpha 90.00
_cell_angle_beta 90.00
_cell_angle_gamma 90.00
loop_
_symmetry_equiv_pos_as_xyz
'x,y,z'
'-x,-y,z'
'-x,y,z'
'x,-y,z'
'x+1/2,y+1/2,z+1/2'
'-x+1/2,-y+1/2,z+1/2'
'-x+1/2,y+1/2,z+1/2'
'x+1/2,-y+1/2,z+1/2'
loop_
_atom_site_label
_atom_site_type_symbol
_atom_site_fract_x
_atom_site_fract_y
_atom_site_fract_z
_atom_site_occupancy
Tc1 Tc 0.0000 0.0000 0.0000 1
Hg1 Hg 0.0000 0.0000 0.5342 1
Hg2 Hg 0.0000 0.5000 0.7362 1
Pt1 Pt 0.0000 0.5000 0.3022 1
```